Entry from Alexandria via LeMat-Bulk: AcPmHPt after structural relaxation (PBE).

a b c (Å): 5.085 5.085 5.085
angles (deg): 60.00 60.00 60.00
Element x y z (fractional)
H (0.500, 0.500, 0.500)
Ac (0.250, 0.250, 0.250)
Pt (0.000, 0.000, 0.000)
Pm (0.750, 0.750, 0.750)

**Fermi-level density of states**: 3.8 states/eV/f.u.
**Space-group type**: No. 216
**Calculated volume**: 92.97 Å³ per cell

=====

Entry from Alexandria via LeMat-Bulk: Mg2Sb2Pd7 after structural relaxation (PBE).

a b c (Å): 5.285 6.483 6.483
angles (deg): 94.52 108.43 108.43
Element x y z (fractional)
Pd (0.044, 0.290, 0.290)
Pd (0.500, 0.000, 0.000)
Pd (0.684, 0.930, 0.423)
Pd (0.956, 0.710, 0.710)
Pd (0.316, 0.577, 0.070)
Pd (0.316, 0.070, 0.577)
Pd (0.684, 0.423, 0.930)
Mg (0.000, 0.170, 0.830)
Mg (0.000, 0.830, 0.170)
Sb (0.412, 0.661, 0.661)
Sb (0.588, 0.339, 0.339)

**Formation energy without anion corrections**: -450 meV per atom
**Fermi-level density of states**: 4.8 states/eV/f.u.
**Space-group type**: No. 12
**Energy relative to the lowest polymorph listed for this composition**: 5.5 kJ/mol of atoms
**Calculated volume**: 195.95 Å³ per cell

=====

Entry from Alexandria via LeMat-Bulk: Ti3CoCu after structural relaxation (PBE).

a b c (Å): 4.512 4.512 4.512
angles (deg): 90.00 90.00 90.00
Element x y z (fractional)
Ti (0.000, 0.000, 0.500)
Ti (0.000, 0.500, 0.000)
Ti (0.500, 0.000, 0.000)
Cu (0.000, 0.000, 0.000)
Co (0.500, 0.500, 0.500)

**Fermi-level density of states**: 12.2 states/eV/f.u.
**Space-group type**: No. 221
**Energy relative to the lowest polymorph listed for this composition**: 55.1 kJ/mol of atoms
**Calculated formation energy**: 968 meV/atom
**Calculated volume**: 91.84 Å³ per cell

=====

Entry from Alexandria via LeMat-Bulk: La2YCl after structural relaxation (PBE).

a b c (Å): 6.972 6.972 6.972
angles (deg): 150.84 130.81 58.22
Element x y z (fractional)
Cl (0.260, 0.760, 0.500)
La (0.742, 0.242, 0.500)
La (0.038, 0.038, 0.000)
Y (0.461, 0.461, 0.000)

**Formation energy without anion corrections**: -501 meV per atom
**Fermi-level density of states**: 5.4 states/eV/f.u.
**Space-group type**: No. 44
**Energy relative to the lowest polymorph listed for this composition**: 17.2 kJ/mol of atoms
**Calculated volume**: 124.13 Å³ per cell

=====

In the order shown, the computed uncorrected energy values come out to -5.030, -4.794, -6.009, -5.042 eV per atom.